Record 1
Density functional theory data (PBE) for CuRuO2F after structural relaxation.

a b c (Å): 3.8226 3.8226 3.8664
angles (deg): 90.00 90.00 90.00
Closest atoms and distances in Å follow each position.
Positions (direct):
1 O 0.5000 0.0000 0.0000  2 Cu 1.91
2 O 0.0000 0.5000 0.0000  2 Cu 1.91
3 F 0.0000 0.0000 0.5000  2 Cu 1.93
4 Ru 0.5000 0.5000 0.5000  4 F 2.70, 8 O 2.72
5 Cu 0.0000 0.0000 0.0000  4 O 1.91, 2 F 1.93

Results
For the density of states at the Fermi level, the calculation gives 0.594 states/eV/atom. The electronic total energy comes out at -5.0374 eV per atom. For the uncorrected formation energy, the calculation gives -0.005 eV/atom.

---

Record 2
Density functional theory data (PBE) for Pr2BS4 after structural relaxation.

a b c (Å): 6.5092 6.1559 7.6664
angles (deg): 90.00 107.14 90.00
Closest atoms and distances in Å follow each position.
Positions (direct):
1 Pr 0.2275 0.2500 0.4334  8 S 2.90-3.17
2 Pr 0.2595 0.2500 0.9394  8 S 2.87-3.20
3 Pr 0.7405 0.7500 0.0606  8 S 2.87-3.20
4 Pr 0.7725 0.7500 0.5666  8 S 2.90-3.17
5 S 0.8878 0.2500 0.6257  1 B 2.00
6 S 0.1253 0.7500 0.9411  1 B 1.98
7 S 0.5180 0.0071 0.7438  1 B 1.91
8 S 0.1122 0.7500 0.3743  1 B 2.00
9 S 0.4820 0.9929 0.2562  1 B 1.91
10 S 0.4820 0.5071 0.2562  1 B 1.91
11 S 0.5180 0.4929 0.7438  1 B 1.91
12 S 0.8747 0.2500 0.0589  1 B 1.98
13 B 0.7089 0.2500 0.7976  4 S 1.91-2.00
14 B 0.2911 0.7500 0.2024  4 S 1.91-2.00

Results
For the density of states at the Fermi level, the calculation gives 0.225 states/eV/atom. The electronic total energy comes out at -6.0624 eV per atom. For the uncorrected formation energy, the calculation gives -1.384 eV/atom.

---

| no. | V (Å³ per cell) |
| --- | --- |
| 1 | 56 |
| 2 | 294 |